(1)
A plane-wave DFT calculation with GGA-PBEsol was carried out for crystalline BaZr2As at its relaxed geometry.

Calculated values
As for the space-group type: C2/m (12). As for the density of states at the Fermi level: 5.27 states/eV/f.u. The spin magnetization comes out at 0.00 μB/f.u. The electronic total energy is -24.91 eV for the cell shown.

```
BaZr2As
1.0
-0.0686 -3.4475 -0.2128
2.7654 -0.3722 4.6641
-5.7620 1.8364 0.3853
Zr As Ba
2 1 1
Direct
0.5000 0.0000 0.5000 Zr
0.0000 0.5000 0.5000 Zr
0.0000 0.5000 0.0000 As
0.5000 0.0000 0.0000 Ba
```

=====

(2)
A plane-wave DFT calculation with GGA-PBEsol was carried out for crystalline BaZrAs at its relaxed geometry.

Calculated values
As for the space-group type: F-43m (216). As for the density of states at the Fermi level: 4.29 states/eV/f.u. The spin magnetization comes out at 3.00 μB/f.u. The electronic total energy is -13.70 eV for the cell shown.

```
BaZrAs
1.0
-4.8036 -0.1545 -1.8112
-1.0603 -2.6978 -4.2399
-2.7314 -4.3369 0.3318
As Zr Ba
1 1 1
Direct
0.5000 0.5000 0.5000 As
0.0000 0.0000 0.0000 Zr
0.2500 0.2500 0.2500 Ba
```

=====

Q: What is the electronic total energy in the first record?
A: -24.91 eV for the cell shown

=====

Q: Number 1 is which compound?
A: BaZr2As